! ScTa2Cd, optimized geometry, DFT PBE; values from VASP
&SYSTEM
  ibrav = 0, nat = 4, ntyp = 3
/
ATOMIC_SPECIES
Cd 112.41 Cd.upf
Sc 44.96 Sc.upf
Ta 180.95 Ta.upf
ATOMIC_POSITIONS crystal
Cd 0.000 0.495 0.500
Sc 0.500 0.809 0.764
Ta 0.000 0.000 0.012
Ta 0.500 0.196 0.224
CELL_PARAMETERS angstrom
4.577 0.000 0.000
0.000 2.930 0.084
0.000 1.502 5.988
! Symmetry: Pm, No. 6
! Calculated volume (A^3/atom): 19.93
! Formation energy from the elements (eV per atom): 0.177

=====

! CaHN2, optimized geometry, DFT PBE; values from VASP
&SYSTEM
  ibrav = 0, nat = 8, ntyp = 3
/
ATOMIC_SPECIES
H 1.01 H.upf
Ca 40.08 Ca.upf
N 14.01 N.upf
ATOMIC_POSITIONS crystal
H 0.500 0.500 0.000
H 0.250 0.750 0.500
Ca 0.000 0.000 0.000
Ca 0.750 0.250 0.500
N 0.401 0.125 0.250
N 0.349 0.625 0.250
N 0.375 0.599 0.750
N 0.875 0.651 0.750
CELL_PARAMETERS angstrom
3.714 0.000 0.000
0.000 3.714 0.000
1.857 1.857 5.567
! Symmetry: I-42d, No. 122
! Calculated volume (A^3/atom): 9.60
! Relative energy among the computed polymorphs (eV/f.u.): 0.00